Record 1
Computed, not measured: a relaxed structure of Sr8GePd2 at the PBE level of DFT. Values from VASP.

```
&SYSTEM
  ibrav = 0, nat = 11, ntyp = 3
/
ATOMIC_SPECIES
Sr 87.62 Sr.upf
Ge 72.64 Ge.upf
Pd 106.42 Pd.upf
CELL_PARAMETERS angstrom
4.718 -6.974 0.000
4.718 6.974 0.000
-2.135 0.000 6.572
ATOMIC_POSITIONS angstrom
Sr 0.000 0.000 0.000
Sr 0.193 1.907 3.749
Sr 2.945 2.913 1.169
Sr 0.193 -1.907 3.749
Sr 3.676 1.851 5.111
Sr 2.945 -2.913 1.169
Sr 3.676 -1.851 5.111
Sr 5.942 0.000 2.588
Ge 2.564 0.000 2.605
Pd 1.931 4.383 4.707
Pd 1.931 -4.383 4.707
```

## Properties
The energy of formation comes out at -313 meV/atom. Its crystal system is monoclinic. The space-group type is Cm (8). The total DFT energy (no corrections) is -2.90 eV/atom.

***

Record 2
Computed, not measured: a relaxed structure of SrGe2Pd at the PBE level of DFT. Values from VASP.

```
&SYSTEM
  ibrav = 0, nat = 4, ntyp = 3
/
ATOMIC_SPECIES
Sr 87.62 Sr.upf
Ge 72.64 Ge.upf
Pd 106.42 Pd.upf
CELL_PARAMETERS angstrom
0.000 3.462 3.462
3.462 0.000 3.462
3.462 3.462 0.000
ATOMIC_POSITIONS angstrom
Sr 0.000 0.000 0.000
Ge 1.731 1.731 1.731
Ge 5.193 5.193 5.193
Pd 3.462 3.462 3.462
```

## Properties
The energy of formation comes out at -240 meV/atom. Its crystal system is cubic. The space-group type is Fm-3m (225). The total DFT energy (no corrections) is -4.27 eV/atom.

***

Record 3
Computed, not measured: a relaxed structure of Sr2Ge4Pd5 at the PBE level of DFT. Values from VASP.

```
&SYSTEM
  ibrav = 0, nat = 11, ntyp = 3
/
ATOMIC_SPECIES
Sr 87.62 Sr.upf
Ge 72.64 Ge.upf
Pd 106.42 Pd.upf
CELL_PARAMETERS angstrom
0.000 5.137 7.489
2.939 0.000 7.489
2.939 5.137 0.000
ATOMIC_POSITIONS angstrom
Sr 2.939 5.137 2.028
Sr 2.939 5.137 12.950
Ge 2.939 3.498 5.580
Ge 2.939 3.498 9.398
Ge 2.939 6.776 5.580
Ge 2.939 6.776 9.398
Pd 1.470 2.569 0.000
Pd 1.470 2.569 3.745
Pd 1.470 2.569 7.489
Pd 2.939 5.137 7.489
Pd 4.409 7.706 11.234
```

## Properties
The energy of formation comes out at -646 meV/atom. Its crystal system is orthorhombic. The space-group type is Fmmm (69). The total DFT energy (no corrections) is -4.99 eV/atom.

***

Record 4
Computed, not measured: a relaxed structure of Sr2GePd2 at the PBE level of DFT. Values from VASP.

```
&SYSTEM
  ibrav = 0, nat = 5, ntyp = 3
/
ATOMIC_SPECIES
Sr 87.62 Sr.upf
Ge 72.64 Ge.upf
Pd 106.42 Pd.upf
CELL_PARAMETERS angstrom
-2.983 2.983 3.812
2.983 -2.983 3.812
2.983 2.983 -3.812
ATOMIC_POSITIONS angstrom
Sr 2.983 0.000 1.906
Sr 0.000 2.983 1.906
Ge 0.000 0.000 0.000
Pd 0.000 0.000 2.457
Pd 0.000 0.000 5.167
```

## Properties
The energy of formation comes out at -450 meV/atom. Its crystal system is tetragonal. The space-group type is I4/mmm (139). The total DFT energy (no corrections) is -4.12 eV/atom.

***

Record 5
Computed, not measured: a relaxed structure of SrGe2Pd2 at the PBE level of DFT. Values from VASP.

```
&SYSTEM
  ibrav = 0, nat = 5, ntyp = 3
/
ATOMIC_SPECIES
Sr 87.62 Sr.upf
Ge 72.64 Ge.upf
Pd 106.42 Pd.upf
CELL_PARAMETERS angstrom
-1.999 1.999 9.416
1.999 -1.999 9.416
1.999 1.999 -9.416
ATOMIC_POSITIONS angstrom
Sr 0.000 0.000 0.000
Ge 0.000 0.000 3.184
Ge 0.000 0.000 15.649
Pd 1.999 0.000 4.708
Pd 0.000 1.999 4.708
```

## Properties
The energy of formation comes out at -109 meV/atom. Its crystal system is tetragonal. The space-group type is I4/mmm (139). The total DFT energy (no corrections) is -4.37 eV/atom.

***

Record 6
Computed, not measured: a relaxed structure of SrGe4Pd2 at the PBE level of DFT. Values from VASP.

```
&SYSTEM
  ibrav = 0, nat = 28, ntyp = 3
/
ATOMIC_SPECIES
Sr 87.62 Sr.upf
Ge 72.64 Ge.upf
Pd 106.42 Pd.upf
CELL_PARAMETERS angstrom
17.507 0.000 0.000
0.000 4.545 0.000
0.000 0.000 6.811
ATOMIC_POSITIONS angstrom
Sr 2.514 1.136 0.094
Sr 6.239 3.409 3.500
Sr 11.268 1.136 3.312
Sr 14.993 3.409 6.717
Ge 0.628 3.409 5.790
Ge 1.099 1.136 3.188
Ge 3.122 3.409 2.243
Ge 3.324 3.409 4.915
Ge 5.430 1.136 1.510
Ge 5.631 1.136 5.649
Ge 7.655 3.409 6.594
Ge 8.126 1.136 2.384
Ge 9.381 3.409 4.427
Ge 9.852 1.136 0.218
Ge 11.876 3.409 1.163
Ge 12.077 3.409 5.302
Ge 14.184 1.136 1.896
Ge 14.385 1.136 4.568
Ge 16.409 3.409 3.623
Ge 16.880 1.136 1.021
Pd 0.503 3.409 1.623
Pd 3.683 1.136 3.613
Pd 5.070 3.409 0.207
Pd 8.250 1.136 5.029
Pd 9.257 3.409 1.782
Pd 12.437 1.136 6.604
Pd 13.824 3.409 3.198
Pd 17.004 1.136 5.188
```

## Properties
The energy of formation comes out at -462 meV/atom. Its crystal system is orthorhombic. The space-group type is Pnma (62). The total DFT energy (no corrections) is -4.82 eV/atom.

***

Record 7
Computed, not measured: a relaxed structure of Sr2GePd4 at the PBE level of DFT. Values from VASP.

```
&SYSTEM
  ibrav = 0, nat = 7, ntyp = 3
/
ATOMIC_SPECIES
Sr 87.62 Sr.upf
Ge 72.64 Ge.upf
Pd 106.42 Pd.upf
CELL_PARAMETERS angstrom
-2.382 2.382 7.773
2.382 -2.382 7.773
2.382 2.382 -7.773
ATOMIC_POSITIONS angstrom
Sr 0.000 0.000 2.235
Sr 0.000 0.000 13.310
Ge 0.000 0.000 7.773
Pd 2.382 0.000 0.000
Pd 0.000 0.000 5.375
Pd 0.000 2.382 0.000
Pd 0.000 0.000 10.170
```

## Properties
The energy of formation comes out at -372 meV/atom. Its crystal system is tetragonal. The space-group type is I4/mmm (139). The total DFT energy (no corrections) is -4.48 eV/atom.

***

Record 8
Computed, not measured: a relaxed structure of SrGe2Pd at the PBE level of DFT. Values from VASP.

```
&SYSTEM
  ibrav = 0, nat = 4, ntyp = 3
/
ATOMIC_SPECIES
Sr 87.62 Sr.upf
Ge 72.64 Ge.upf
Pd 106.42 Pd.upf
CELL_PARAMETERS angstrom
2.150 1.241 5.606
-2.150 1.241 5.606
0.000 -2.483 5.606
ATOMIC_POSITIONS angstrom
Sr 0.000 0.000 0.000
Ge 0.000 0.000 3.582
Ge 0.000 0.000 13.235
Pd 0.000 0.000 8.408
```

## Properties
The energy of formation comes out at -625 meV/atom. Its crystal system is trigonal. The space-group type is R-3m (166). The total DFT energy (no corrections) is -4.65 eV/atom.

***

Record 9
Computed, not measured: a relaxed structure of SrGePd3 at the PBE level of DFT. Values from VASP.

```
&SYSTEM
  ibrav = 0, nat = 20, ntyp = 3
/
ATOMIC_SPECIES
Sr 87.62 Sr.upf
Ge 72.64 Ge.upf
Pd 106.42 Pd.upf
CELL_PARAMETERS angstrom
6.308 0.000 0.000
-3.154 5.463 0.000
0.000 0.000 12.080
ATOMIC_POSITIONS angstrom
Sr 0.000 0.000 0.000
Sr 0.000 0.000 6.040
Sr 0.000 3.642 3.020
Sr 3.154 1.821 9.060
Ge 0.000 3.642 7.699
Ge 0.000 3.642 10.421
Ge 3.154 1.821 1.659
Ge 3.154 1.821 4.381
Pd -1.577 2.731 0.000
Pd -1.577 2.731 6.040
Pd 0.000 1.569 9.060
Pd -1.795 4.678 9.060
Pd 1.359 0.785 3.020
Pd 3.154 0.000 0.000
Pd 3.154 0.000 6.040
Pd 1.577 2.731 0.000
Pd 1.577 2.731 6.040
Pd 1.795 4.678 9.060
Pd 4.949 0.785 3.020
Pd 3.154 3.894 3.020
```

## Properties
The energy above the lowest structure with this stoichiometry is 0.097 eV/atom. The energy of formation comes out at -520 meV/atom. Its crystal system is hexagonal. The space-group type is P6_3/mmc (194). The total DFT energy (no corrections) is -4.90 eV/atom.

***

Record 10
Computed, not measured: a relaxed structure of SrGe4Pd8 at the PBE level of DFT. Values from VASP.

```
&SYSTEM
  ibrav = 0, nat = 13, ntyp = 3
/
ATOMIC_SPECIES
Sr 87.62 Sr.upf
Ge 72.64 Ge.upf
Pd 106.42 Pd.upf
CELL_PARAMETERS angstrom
-4.473 4.473 2.724
4.473 -4.473 2.724
4.473 4.473 -2.724
ATOMIC_POSITIONS angstrom
Sr 0.000 0.000 0.000
Ge 2.237 2.237 -1.362
Ge 2.237 -2.237 1.362
Ge -2.237 2.237 1.362
Ge 2.237 2.237 1.362
Pd 3.021 0.000 0.000
Pd 5.925 0.000 0.000
Pd 4.473 2.449 0.000
Pd 0.000 3.021 0.000
Pd 2.449 4.473 0.000
Pd 2.024 0.000 2.724
Pd 0.000 5.925 0.000
Pd 0.000 2.024 2.724
```

## Properties
The energy of formation comes out at -454 meV/atom. Its crystal system is tetragonal. The space-group type is I4/mmm (139). The total DFT energy (no corrections) is -5.20 eV/atom.

***

Among the records above, which one has the highest energy of formation? SrGe2Pd2

***

Which formula does entry 4 have? Sr2GePd2

***

Among the records above, which one has the highest total DFT energy (no corrections)? Sr8GePd2

***

What is the total DFT energy (no corrections) in the first record? -2.90 eV/atom